DFT (GGA-PBE) results for a geometry-optimized TbY2ThP4 structure.

a b c (Å): 7.0098 4.0592 7.0144
angles (deg): 90.00 109.47 90.00
Fractional coordinates of all 8 atoms:
Tb  0.0000  0.0000  0.0000
Y  0.5000  0.0000  0.5000
Y  0.5000  0.5000  0.0000
Th  0.0000  0.5000  0.5000
P  0.2519  0.5000  0.2488
P  0.2544  0.0000  0.7539
P  0.7456  0.0000  0.2461
P  0.7481  0.5000  0.7512

Calculated values
Calculated total energy = -7.45 eV/atom